1:
The following is a DFT calculation (PBE) of crystalline LiZrPO at its relaxed geometry.

Cell: 3.585 3.585 8.558 Å, 90.00 90.00 90.00°
Space group P4/nmm (No. 129, origin choice 2)
One atom of each set of equivalent atoms:
Li1 0.250 0.750 0.000 (multiplicity 2)
Zr1 0.250 0.250 0.353 (multiplicity 2)
P1 0.250 0.250 0.803 (multiplicity 2)
O1 0.250 0.750 0.500 (multiplicity 2)

## Properties
Theoretical density, g cm⁻³: 4.382

***

2:
The following is a DFT calculation (PBE) of crystalline LiZrPO at its relaxed geometry.

Cell: 4.122 5.447 5.349 Å, 90.00 90.00 90.00°
Space group Pmc2_1 (No. 26)
One atom of each set of equivalent atoms:
Li1 0.000 0.107 0.000 (multiplicity 2)
Zr1 0.500 0.267 0.353 (multiplicity 2)
P1 0.500 0.258 0.849 (multiplicity 2)
O1 0.000 0.207 0.343 (multiplicity 2)

## Properties
Theoretical density, g cm⁻³: 4.013

***

The least stable of them is 2.

***

1:
The following is a DFT calculation (PBE) of crystalline Li8Pa4O11 at its relaxed geometry.

Cell: 5.291 5.548 10.513 Å, 83.25 82.68 72.19°
Space group P1 (No. 1)
One atom of each set of equivalent atoms:
Li1 0.000 0.000 0.000 (multiplicity 1)
Li2 0.003 0.737 0.510 (multiplicity 1)
Li3 0.030 0.475 0.009 (multiplicity 1)
Li4 0.298 0.483 0.686 (multiplicity 1)
Li5 0.507 0.978 0.558 (multiplicity 1)
Li6 0.516 0.247 0.036 (multiplicity 1)
Li7 0.523 0.457 0.474 (multiplicity 1)
Li8 0.716 0.996 0.331 (multiplicity 1)
Pa1 0.091 0.295 0.331 (multiplicity 1)
Pa2 0.422 0.743 0.180 (multiplicity 1)
Pa3 0.600 0.739 0.837 (multiplicity 1)
Pa4 0.915 0.193 0.681 (multiplicity 1)
O1 0.017 0.777 0.735 (multiplicity 1)
O2 0.020 0.713 0.283 (multiplicity 1)
O3 0.170 0.160 0.123 (multiplicity 1)
O4 0.190 0.372 0.524 (multiplicity 1)
O5 0.301 0.642 0.999 (multiplicity 1)
O6 0.466 0.127 0.734 (multiplicity 1)
O7 0.548 0.335 0.258 (multiplicity 1)
O8 0.614 0.587 0.636 (multiplicity 1)
O9 0.717 0.846 0.020 (multiplicity 1)
O10 0.820 0.109 0.483 (multiplicity 1)
O11 0.849 0.323 0.889 (multiplicity 1)

## Properties
Theoretical density, g cm⁻³: 6.607

***

2:
The following is a DFT calculation (PBE) of crystalline Li8Pa4O11 at its relaxed geometry.

Cell: 5.294 5.609 10.466 Å, 83.09 83.52 72.72°
Space group P1 (No. 1)
One atom of each set of equivalent atoms:
Li1 0.000 0.000 0.000 (multiplicity 1)
Li2 0.025 0.490 0.067 (multiplicity 1)
Li3 0.051 0.669 0.541 (multiplicity 1)
Li4 0.288 0.400 0.860 (multiplicity 1)
Li5 0.465 0.143 0.084 (multiplicity 1)
Li6 0.529 0.437 0.536 (multiplicity 1)
Li7 0.562 0.915 0.547 (multiplicity 1)
Li8 0.842 0.903 0.215 (multiplicity 1)
Pa1 0.137 0.161 0.363 (multiplicity 1)
Pa2 0.453 0.611 0.211 (multiplicity 1)
Pa3 0.630 0.719 0.859 (multiplicity 1)
Pa4 0.967 0.177 0.706 (multiplicity 1)
O1 0.012 0.552 0.261 (multiplicity 1)
O2 0.158 0.009 0.161 (multiplicity 1)
O3 0.256 0.275 0.543 (multiplicity 1)
O4 0.385 0.750 0.417 (multiplicity 1)
O5 0.386 0.501 0.018 (multiplicity 1)
O6 0.558 0.196 0.265 (multiplicity 1)
O7 0.561 0.122 0.790 (multiplicity 1)
O8 0.721 0.814 0.057 (multiplicity 1)
O9 0.723 0.585 0.653 (multiplicity 1)
O10 0.851 0.059 0.526 (multiplicity 1)
O11 0.956 0.335 0.903 (multiplicity 1)

## Properties
Theoretical density, g cm⁻³: 6.536

***

The least stable of them is 1.

***

1:
The following is a DFT calculation (PBE) of crystalline Li2Pd2O5 at its relaxed geometry.

Cell: 3.332 3.332 7.994 Å, 90.00 90.00 90.00°
Space group P4/mmm (No. 123)
One atom of each set of equivalent atoms:
Li1 0.000 0.000 0.233 (multiplicity 2)
Pd1 0.500 0.500 0.000 (multiplicity 1)
Pd2 0.500 0.500 0.500 (multiplicity 1)
O1 0.000 0.000 0.000 (multiplicity 1)
O2 0.000 0.500 0.348 (multiplicity 4)

## Properties
Theoretical density, g cm⁻³: 5.737

***

2:
The following is a DFT calculation (PBE) of crystalline Li2Pd2O5 at its relaxed geometry.

Cell: 5.193 17.068 5.278 Å, 90.00 94.86 90.00°
Space group Cc (No. 9)
One atom of each set of equivalent atoms:
Li1 0.000 0.051 0.000 (multiplicity 4)
Li2 0.340 0.052 0.551 (multiplicity 4)
Pd1 0.020 0.351 0.597 (multiplicity 4)
Pd2 0.323 0.353 0.033 (multiplicity 4)
O1 0.020 0.364 0.232 (multiplicity 4)
O2 0.365 0.053 0.181 (multiplicity 4)
O3 0.397 0.354 0.669 (multiplicity 4)
O4 0.402 0.251 0.156 (multiplicity 4)
O5 0.479 0.450 0.136 (multiplicity 4)

## Properties
Theoretical density, g cm⁻³: 4.370

***

The least stable of them is 1.